(1)
DFT (PBE) results for Rb2VInN after structural relaxation.

Unit cell a=7.088 b=7.088 c=3.718 alpha=90.00 beta=90.00 gamma=90.00
Space group P4/mmm (No. 123)
Asymmetric unit:
Rb1 0.000 0.500 0.000 [2 per cell]
V1 0.000 0.000 0.000 [1 per cell]
In1 0.500 0.500 0.500 [1 per cell]
N1 0.000 0.000 0.500 [1 per cell]

Total magnetic moment, μB/f.u.: 1.81
Final energy, hartree per atom: -0.149

=====

(2)
DFT (PBE) results for InRe3N after structural relaxation.

Unit cell a=4.149 b=4.149 c=4.149 alpha=90.00 beta=90.00 gamma=90.00
Space group Pm-3m (No. 221)
Asymmetric unit:
In1 0.000 0.000 0.000 [1 per cell]
Re1 0.000 0.500 0.500 [3 per cell]
N1 0.500 0.500 0.500 [1 per cell]

Total magnetic moment, μB/f.u.: 0.00
ΔE to the lowest computed polymorph, meV/atom: 0

=====

- Which of these has the lowest total magnetic moment?
  InRe3N